Below is a geometry-optimized CdPb2S structure, with properties calculated at the GGA-PBE level.

Cell lengths 10.525, 10.525, 10.525 Å; angles 19.99, 19.99, 19.99 degrees
Positions (direct):
Cd (0.000, 0.000, 0.000)
Pb (0.103, 0.103, 0.103)
Pb (0.897, 0.897, 0.897)
S (0.500, 0.500, 0.500)

Computed properties:
For the total energy, the calculation gives -3.122 eV per atom. The uncorrected formation energy comes out at -7 meV/atom. Its space group is R-3m, No. 166. The calculated density is 7.8 g/cm³. The total magnetic moment is 0.00 μB/cell.

---

Below is a geometry-optimized CdPb2S structure, with properties calculated at the GGA-PBE level.

Cell lengths 7.904, 7.904, 7.904 Å; angles 129.04, 129.04, 74.95 degrees
Positions (direct):
Cd (0.000, 0.000, 0.000)
Cd (0.750, 0.250, 0.500)
Pb (0.145, 0.625, 0.020)
Pb (0.375, 0.395, 0.520)
Pb (0.605, 0.125, 0.980)
Pb (0.875, 0.855, 0.480)
S (0.250, 0.750, 0.500)
S (0.500, 0.500, 0.000)

Computed properties:
For the total energy, the calculation gives -3.052 eV per atom. The uncorrected formation energy comes out at 63 meV/atom. Its space group is I-42d, No. 122. The calculated density is 6.4 g/cm³. The total magnetic moment is 0.00 μB/cell.